Computed, not measured: a relaxed PmHo2Tc crystal at the PBE level of DFT.

Cell: 7.4870 9.1547 6.3230 Å, 90.00 90.00 90.00°
Space group Pnma (No. 62)
Asymmetric unit:
Pm1 0.0423 0.2500 0.1257
Ho1 0.1755 0.0643 0.6576
Tc1 0.1158 0.7500 0.4553

Electronic total energy, eV per atom: -6.147
Crystal system: orthorhombic
ΔE to the lowest computed polymorph, meV per atom: 0
Total magnetization, μB per cell: 0.00
DOS at the Fermi energy, states/eV/atom: 0.850
E_form, meV per atom: -79